Here is crystalline Cs4Sb2Se5 at its relaxed geometry from Alexandria. Energies are from GGA-PBE.

Cell: 7.391 7.391 10.253 Å, 77.86 77.86 70.76°
Positions (direct):
Cs: 0.060 0.060 0.486
Sb: 0.343 0.343 0.725
Se: 0.219 0.690 0.775
Se: 0.396 0.853 0.180
Se: 0.690 0.219 0.775
Cs: 0.931 0.931 0.064
Se: 0.853 0.396 0.180
Sb: 0.607 0.607 0.345
Cs: 0.370 0.370 0.111
Se: 0.380 0.380 0.458
Cs: 0.693 0.693 0.829

Results
VASP energy = -3.517 eV per atom
Symmetry = Cm
Formation energy (no corrections) = -873 meV/atom

Here is crystalline CsHfRh2 at its relaxed geometry from Alexandria. Energies are from GGA-PBE.

Cell: 7.562 7.562 6.434 Å, 54.01 54.01 90.00°
Positions (direct):
Cs: 0.250 0.750 0.500
Rh: 0.687 0.125 0.250
Cs: 0.500 0.500 0.000
Hf: 0.750 0.250 0.500
Hf: 0.000 0.000 0.000
Rh: 0.063 0.625 0.250
Rh: 0.375 0.313 0.750
Rh: 0.875 0.937 0.750

Results
Energy above the most stable polymorph in this dataset = 0.000 eV per atom
VASP energy = -5.877 eV per atom
Energy of formation from the pure elements = 0.50 eV/atom
Symmetry = I-42d

Here is crystalline MgCuGeIr at its relaxed geometry from Alexandria. Energies are from GGA-PBE.

Cell: 4.361 4.361 4.361 Å, 60.00 60.00 60.00°
Positions (direct):
Cu: 0.500 0.500 0.500
Mg: 0.750 0.750 0.750
Ge: 0.250 0.250 0.250
Ir: 0.000 0.000 0.000

Results
VASP energy = -4.945 eV per atom
Energy of formation from the pure elements = -0.15 eV/atom
Symmetry = F-43m

Here is crystalline V11S16 at its relaxed geometry from Alexandria. Energies are from GGA-PBE.

Cell: 6.608 8.945 9.501 Å, 100.26 106.01 98.99°
Each line ends with the local moment (μB).
Positions (direct):
V: 0.184 0.549 0.277  1.44
S: 0.780 0.602 0.700  0.01
S: 0.157 0.882 0.965  0.00
V: 0.192 0.311 0.917  0.58
S: 0.887 0.170 0.926  -0.03
V: 0.722 0.370 0.528  0.28
V: 0.524 0.597 0.157  -0.78
S: 0.676 0.807 0.072  0.01
S: 0.130 0.547 0.027  -0.02
S: 0.480 0.259 0.620  -0.02
S: 0.400 0.783 0.321  -0.02
S: 0.895 0.640 0.335  -0.01
S: 0.845 0.939 0.602  0.00
V: 0.821 0.387 0.818  -0.54
V: 0.521 0.021 0.497  0.88
S: 0.705 0.139 0.346  -0.01
S: 0.368 0.921 0.677  -0.01
V: 0.156 0.089 0.590  -0.19
S: 0.061 0.331 0.668  -0.01
S: 0.341 0.103 0.999  0.00
V: 0.534 0.163 0.835  0.20
S: 0.462 0.423 0.324  -0.01
V: 0.467 0.944 0.164  -0.26
V: 0.666 0.672 0.476  -0.75
S: 0.140 0.039 0.348  0.00
S: 0.578 0.421 0.968  0.01
V: 0.807 0.891 0.342  0.13

Results
VASP energy = -6.880 eV per atom
Symmetry = P1
Formation energy (no corrections) = -719 meV/atom

Here is crystalline Ba3Ti2PbO8 at its relaxed geometry from Alexandria. Energies are from GGA-PBE.

Cell: 6.148 6.148 7.868 Å, 90.00 90.00 120.00°
Positions (direct):
O: 0.653 0.827 0.290
O: 0.827 0.653 0.710
Ba: 0.333 0.667 0.666
O: 0.667 0.333 0.027
Ti: 0.333 0.667 0.201
O: 0.827 0.173 0.710
Pb: 0.000 0.000 0.500
Ba: 0.000 0.000 0.000
O: 0.173 0.827 0.290
O: 0.173 0.347 0.290
Ba: 0.667 0.333 0.334
Ti: 0.667 0.333 0.799
O: 0.347 0.173 0.710
O: 0.333 0.667 0.973

Results
VASP energy = -7.323 eV per atom
Symmetry = P-3m1
Formation energy (no corrections) = -2685 meV/atom

Here is crystalline NdUTe3 at its relaxed geometry from Alexandria. Energies are from GGA-PBE.

Cell: 4.370 8.037 9.899 Å, 83.90 102.75 90.00°
Each line ends with the local moment (μB).
Positions (direct):
Te: 0.172 0.545 0.344  -0.03
Nd: 0.140 0.933 0.281  0.01
Te: 0.685 0.163 0.370  -0.01
Nd: 0.860 0.067 0.719  0.01
Te: 0.315 0.837 0.630  -0.01
Te: 0.007 0.239 0.014  -0.02
Te: 0.828 0.455 0.656  -0.03
U: 0.437 0.510 0.875  0.84
U: 0.563 0.490 0.125  0.84
Te: 0.993 0.761 0.986  -0.02

Results
VASP energy = -5.952 eV per atom
Symmetry = C2/m
Formation energy (no corrections) = -855 meV/atom

Here is crystalline CaMg3Sb at its relaxed geometry from Alexandria. Energies are from GGA-PBE.

Cell: 5.531 5.531 5.531 Å, 90.00 90.00 90.00°
Positions (direct):
Ca: 0.500 0.500 0.500
Mg: 0.000 0.000 0.500
Mg: 0.000 0.500 0.000
Sb: 0.000 0.000 0.000
Mg: 0.500 0.000 0.000

Results
Energy above the most stable polymorph in this dataset = 0.000 eV per atom
VASP energy = -2.003 eV per atom
Symmetry = Pm-3m
Formation energy (no corrections) = 179 meV/atom

Here is crystalline CeMgHg2 at its relaxed geometry from Alexandria. Energies are from GGA-PBE.

Cell: 5.179 5.179 5.179 Å, 60.00 60.00 60.00°
Each line ends with the local moment (μB).
Positions (direct):
Ce: 0.750 0.750 0.750  0.12
Hg: 0.500 0.500 0.500  0.00
Mg: 0.250 0.250 0.250  0.00
Hg: 0.000 0.000 0.000  0.00

Results
VASP energy = -2.424 eV per atom
Energy of formation from the pure elements = -0.39 eV/atom
Symmetry = Fm-3m